# 1
Density functional theory data (PBE) for FeOs3W after structural relaxation.

abc: 4.6832 4.6832 4.6832
angles: 90.00 90.00 90.00
Space group Pm-3m (No. 221)
Inequivalent atoms, fractional coordinates:
Fe: 0.0000 0.0000 0.0000 x1
Os: 0.0000 0.5000 0.5000 x3
W: 0.5000 0.5000 0.5000 x1

As for the energy relative to the elements: 2.7212 eV/atom. The total energy is -8.300 eV per atom. As for the density of states at the Fermi level: 11.17 states/eV per cell.

# 2
Density functional theory data (PBE) for Ba2PPb after structural relaxation.

abc: 8.0944 8.0944 8.0944
angles: 90.00 90.00 90.00
Space group F-43m (No. 216)
Inequivalent atoms, fractional coordinates:
Ba: 0.0000 0.0000 0.0000 x4
Ba: 0.2500 0.2500 0.2500 x4
P: 0.0000 0.0000 0.5000 x4
Pb: 0.2500 0.2500 0.7500 x4

As for the energy relative to the elements: -0.0906 eV/atom. The total energy is -3.331 eV per atom. The polymorph energy (0 for the lowest one) comes out at 51.3 kJ per mole of atoms. As for the density of states at the Fermi level: 17.91 states/eV per cell.

# 3
Density functional theory data (PBE) for Ca2Tl2SbO6 after structural relaxation.

abc: 5.9863 10.2104 6.3261
angles: 90.00 104.69 90.00
Space group C2/m (No. 12)
Inequivalent atoms, fractional coordinates:
Ca: 0.0000 0.1646 0.0000 x4
Tl: 0.0000 0.3336 0.5000 x4
Sb: 0.0000 0.5000 0.0000 x2
O: 0.1944 0.3541 0.1743 x8
O: 0.2244 0.5000 0.8038 x4

The total energy is -5.584 eV per atom. The value obtained for the uncorrected formation energy is -1.710 eV/atom. As for the density of states at the Fermi level: 11.48 states/eV per cell.

# 4
Density functional theory data (PBE) for PrTa2MnC4 after structural relaxation.

abc: 3.2639 11.2410 10.9169
angles: 90.00 90.00 90.00
Space group Cmcm (No. 63)
Inequivalent atoms, fractional coordinates:
Pr: 0.0000 0.0959 0.2500 x4
Ta: 0.0000 0.3702 0.0436 x8
Mn: 0.0000 0.1701 0.7500 x4
C: 0.0000 0.0000 0.0000 x4
C: 0.0000 0.2625 0.6136 x8
C: 0.0000 0.4142 0.2500 x4

As for the energy relative to the elements: -0.3125 eV/atom. The total energy is -9.631 eV per atom. As for the density of states at the Fermi level: 14.49 states/eV per cell.

# 5
Density functional theory data (PBE) for Ca2GaPd5Au2 after structural relaxation.

abc: 9.8049 9.8049 3.9575
angles: 90.00 90.00 90.00
Space group P4/mbm (No. 127)
Inequivalent atoms, fractional coordinates:
Ca: 0.1679 0.3321 0.0000 x4
Ga: 0.0000 0.0000 0.0000 x2
Pd: 0.0000 0.5000 0.5000 x2
Pd: 0.0591 0.8105 0.5000 x8
Au: 0.1318 0.6318 0.0000 x4

As for the energy relative to the elements: -0.5520 eV/atom. The total energy is -4.507 eV per atom. As for the density of states at the Fermi level: 5.58 states/eV per cell.

# 6
Density functional theory data (PBE) for Tb7Ag2Hg2 after structural relaxation.

abc: 7.5211 10.9059 7.9844
angles: 90.00 90.00 90.00
Space group Cmmm (No. 65)
Inequivalent atoms, fractional coordinates:
Tb: 0.0000 0.0000 0.0000 x2
Tb: 0.0000 0.5000 0.2721 x4
Tb: 0.2500 0.2500 0.2911 x8
Ag: 0.1806 0.0000 0.5000 x4
Hg: 0.0000 0.2934 0.0000 x4

As for the energy relative to the elements: -0.0083 eV/atom. The total energy is -3.528 eV per atom. As for the density of states at the Fermi level: 27.10 states/eV per cell.

# 7
Density functional theory data (PBE) for MoCl2 after structural relaxation.

abc: 3.6502 14.7716 7.1675
angles: 90.00 90.00 90.00
Space group Cmcm (No. 63)
Inequivalent atoms, fractional coordinates:
Mo: 0.0000 0.1703 0.2500 x4
Cl: 0.0000 0.2144 0.7500 x4
Cl: 0.0000 0.4418 0.7500 x4

The total energy is -5.062 eV per atom. The value obtained for the uncorrected formation energy is -0.220 eV/atom. The polymorph energy (0 for the lowest one) comes out at 69.4 kJ per mole of atoms.

# 8
Density functional theory data (PBE) for K2Cd2Se2O after structural relaxation.

abc: 13.3537 4.2602 7.7066
angles: 90.00 121.55 90.00
Space group C2/m (No. 12)
Inequivalent atoms, fractional coordinates:
K: 0.0510 0.0000 0.2877 x4
Cd: 0.1799 0.5000 0.0775 x4
Se: 0.1852 0.5000 0.7181 x4
O: 0.0000 0.5000 0.0000 x2

The total energy is -3.285 eV per atom. The value obtained for the uncorrected formation energy is -1.006 eV/atom.

# 9
Density functional theory data (PBE) for Be3CuH after structural relaxation.

abc: 4.0572 4.0572 4.0572
angles: 90.00 90.00 90.00
Space group Pm-3m (No. 221)
Inequivalent atoms, fractional coordinates:
Be: 0.0000 0.0000 0.5000 x3
Cu: 0.0000 0.0000 0.0000 x1
H: 0.5000 0.5000 0.5000 x1

The total energy is -2.575 eV per atom. The polymorph energy (0 for the lowest one) comes out at 96.0 kJ per mole of atoms. As for the density of states at the Fermi level: 2.02 states/eV per cell.

# 10
Density functional theory data (PBE) for TbTh2IrN4 after structural relaxation.

abc: 3.4267 12.0686 12.1136
angles: 90.00 90.00 90.00
Space group Cmcm (No. 63)
Inequivalent atoms, fractional coordinates:
Tb: 0.0000 0.1135 0.2500 x4
Th: 0.0000 0.3697 0.0550 x8
Ir: 0.0000 0.1512 0.7500 x4
N: 0.0000 0.0000 0.0000 x4
N: 0.0000 0.2807 0.6272 x8
N: 0.0000 0.4602 0.2500 x4

The total energy is -8.736 eV per atom. The value obtained for the uncorrected formation energy is -1.032 eV/atom. As for the density of states at the Fermi level: 16.42 states/eV per cell.

# 11
Density functional theory data (PBE) for ScFe3Cu after structural relaxation.

abc: 4.4043 4.4043 4.4043
angles: 90.00 90.00 90.00
Space group Pm-3m (No. 221)
Inequivalent atoms, fractional coordinates:
Sc: 0.0000 0.0000 0.0000 x1
Fe: 0.0000 0.5000 0.5000 x3
Cu: 0.5000 0.5000 0.5000 x1

As for the energy relative to the elements: 0.7872 eV/atom. The total energy is -6.376 eV per atom. The polymorph energy (0 for the lowest one) comes out at 0.0 kJ per mole of atoms. As for the density of states at the Fermi level: 5.27 states/eV per cell.

# 12
Density functional theory data (PBE) for Ce4PtRh after structural relaxation.

abc: 5.7572 6.4195 8.2440
angles: 90.00 107.23 90.00
Space group P2_1/m (No. 11)
Inequivalent atoms, fractional coordinates:
Ce: 0.1721 0.2500 0.0716 x2
Ce: 0.2430 0.7500 0.3708 x2
Ce: 0.2932 0.5361 0.7305 x4
Pt: 0.2288 0.2500 0.4281 x2
Rh: 0.3195 0.7500 0.0691 x2

As for the energy relative to the elements: -0.5523 eV/atom. The total energy is -6.740 eV per atom. The polymorph energy (0 for the lowest one) comes out at 0.0 kJ per mole of atoms. As for the density of states at the Fermi level: 31.90 states/eV per cell.

# 13
Density functional theory data (PBE) for TePb2AuS5 after structural relaxation.

abc: 3.8848 17.7744 12.7762
angles: 90.00 90.00 90.00
Space group Cmc2_1 (No. 36)
Inequivalent atoms, fractional coordinates:
Te: 0.0000 0.2174 0.0000 x4
Pb: 0.0000 0.1074 0.6675 x4
Pb: 0.0000 0.1241 0.2784 x4
Au: 0.0000 0.4718 0.4521 x4
S: 0.0000 0.0394 0.0599 x4
S: 0.0000 0.2823 0.6531 x4
S: 0.0000 0.2887 0.3605 x4
S: 0.0000 0.3558 0.9952 x4
S: 0.0000 0.4986 0.2705 x4

The total energy is -3.970 eV per atom. The value obtained for the uncorrected formation energy is -0.140 eV/atom. As for the density of states at the Fermi level: 10.44 states/eV per cell.

# 14
Density functional theory data (PBE) for Cr2FeP after structural relaxation.

abc: 2.6228 2.6228 22.9149
angles: 90.00 90.00 120.00
Space group R3m (No. 160, hexagonal axes)
Inequivalent atoms, fractional coordinates:
Cr: 0.0000 0.0000 0.0000 x3
Cr: 0.0000 0.0000 0.2447 x3
Fe: 0.0000 0.0000 0.4925 x3
P: 0.0000 0.0000 0.7481 x3

As for the energy relative to the elements: 0.1051 eV/atom. The total energy is -8.175 eV per atom. As for the density of states at the Fermi level: 15.52 states/eV per cell.

# 15
Density functional theory data (PBE) for PaTaSi2Pt after structural relaxation.

abc: 4.0654 4.0654 10.8825
angles: 90.00 90.00 90.00
Space group I-4m2 (No. 119)
Inequivalent atoms, fractional coordinates:
Pa: 0.0000 0.0000 0.0000 x2
Ta: 0.0000 0.5000 0.2500 x2
Si: 0.0000 0.0000 0.3922 x4
Pt: 0.0000 0.5000 0.7500 x2

The total energy is -8.267 eV per atom. The value obtained for the uncorrected formation energy is -0.620 eV/atom. As for the density of states at the Fermi level: 9.83 states/eV per cell.

# 16
Density functional theory data (PBE) for Li5Np3Cl12 after structural relaxation.

abc: 15.4503 15.4503 15.4503
angles: 90.00 90.00 90.00
Space group Ia-3d (No. 230)
Inequivalent atoms, fractional coordinates:
Li: 0.0000 0.0000 0.0000 x16
Li: 0.0000 0.2500 0.3750 x24
Np: 0.0000 0.2500 0.1250 x24
Cl: 0.0283 0.0617 0.6524 x96

The total energy is -5.180 eV per atom. The value obtained for the uncorrected formation energy is -1.652 eV/atom. As for the density of states at the Fermi level: 206.21 states/eV per cell.

# 17
Density functional theory data (PBE) for TcAu2 after structural relaxation.

abc: 5.9975 3.8481 8.9279
angles: 90.00 90.00 90.00
Space group Pnma (No. 62)
Inequivalent atoms, fractional coordinates:
Tc: 0.0868 0.2500 0.0574 x4
Au: 0.1145 0.2500 0.4119 x4
Au: 0.1402 0.2500 0.7455 x4

As for the energy relative to the elements: 0.2735 eV/atom. The total energy is -5.367 eV per atom. The polymorph energy (0 for the lowest one) comes out at 0.3 kJ per mole of atoms. As for the density of states at the Fermi level: 10.54 states/eV per cell.